(1)
Compound: KHg3PbO4
Source: OQMD
Functional: PBE-GGA
Structure: optimized geometry

Output
energy	-3.140	eV/atom

```
KHg3PbO4
1.0
5.985 0.000 0.000
0.000 5.985 0.000
0.000 0.000 5.985
K Hg Pb O
1 3 1 4
Cartesian
0.000 0.000 0.000 K
0.000 2.993 2.993 Hg
2.993 0.000 2.993 Hg
2.993 2.993 0.000 Hg
2.993 2.993 2.993 Pb
1.731 1.731 1.731 O
1.731 4.254 4.254 O
4.254 1.731 4.254 O
4.254 4.254 1.731 O
```

=====

(2)
Compound: Dy8In3Co
Source: OQMD
Functional: PBE-GGA
Structure: optimized geometry

Output
energy	-4.697	eV/atom

```
Dy8In3Co
1.0
10.373 0.000 0.000
-5.187 8.983 0.000
0.000 0.000 6.989
Dy In Co
16 6 2
Cartesian
0.000 0.000 0.000 Dy
0.000 0.000 3.495 Dy
-2.057 4.801 3.427 Dy
0.000 3.194 5.454 Dy
-2.421 7.386 5.454 Dy
0.000 5.989 0.688 Dy
2.766 1.597 1.959 Dy
2.057 4.801 3.427 Dy
0.000 8.365 3.427 Dy
5.187 0.619 6.922 Dy
3.129 4.182 6.922 Dy
2.421 7.386 5.454 Dy
5.187 2.994 4.183 Dy
7.607 1.597 1.959 Dy
5.187 5.789 1.959 Dy
7.244 4.182 6.922 Dy
0.000 2.934 1.694 In
-2.646 7.516 1.694 In
2.541 1.467 5.189 In
2.646 7.516 1.694 In
7.832 1.467 5.189 In
5.187 6.050 5.189 In
0.000 5.989 4.969 Co
5.187 2.994 1.474 Co
```

=====

(3)
Compound: NdMgTe3Au
Source: OQMD
Functional: PBE-GGA
Structure: optimized geometry

Output
offset from the most stable computed form	0	meV per atom

```
NdMgTe3Au
1.0
2.119 -7.642 0.000
2.119 7.642 0.000
0.000 0.000 11.452
Nd Mg Te Au
2 2 6 2
Cartesian
0.000 0.000 0.000 Nd
0.000 0.000 5.726 Nd
2.119 5.399 8.589 Mg
2.119 -5.399 2.863 Mg
2.119 6.185 2.863 Te
2.119 2.311 0.770 Te
2.119 2.311 4.956 Te
2.119 -2.311 6.496 Te
2.119 -2.311 10.682 Te
2.119 -6.185 8.589 Te
2.119 0.319 2.863 Au
2.119 -0.319 8.589 Au
```

=====

(4)
Compound: RbYCoS3
Source: OQMD
Functional: PBE-GGA
Structure: optimized geometry

Output
energy	-5.549	eV/atom

```
RbYCoS3
1.0
8.096 -2.065 0.000
8.096 2.065 0.000
-1.808 0.000 8.378
Rb Y Co S
2 2 2 6
Cartesian
2.361 0.000 0.551 Rb
12.023 0.000 7.827 Rb
1.589 0.000 4.840 Y
12.795 0.000 3.538 Y
6.692 0.000 6.226 Co
7.692 0.000 2.153 Co
-0.904 0.000 4.189 S
4.344 0.000 5.378 S
5.387 0.000 1.887 S
8.096 0.000 0.000 S
8.997 0.000 6.492 S
10.040 0.000 3.000 S
```

=====

(5)
Compound: NdTlHg3S4
Source: OQMD
Functional: PBE-GGA
Structure: optimized geometry

Output
energy	-3.160	eV/atom

```
NdTlHg3S4
1.0
6.761 0.000 0.000
0.000 6.761 0.000
0.000 0.000 6.761
Nd Tl Hg S
1 1 3 4
Cartesian
0.000 0.000 0.000 Nd
3.381 3.381 3.381 Tl
0.000 0.000 3.381 Hg
0.000 3.381 0.000 Hg
3.381 0.000 0.000 Hg
1.539 1.539 5.222 S
1.539 5.222 1.539 S
5.222 1.539 1.539 S
5.222 5.222 5.222 S
```

=====

(6)
Compound: PrHoNi2B2N2
Source: OQMD
Functional: PBE-GGA
Structure: optimized geometry

Output
energy	-7.310	eV/atom

```
PrHoNi2B2N2
1.0
3.572 0.000 0.000
0.000 3.572 0.000
0.000 0.000 7.530
Pr Ho Ni B N
1 1 2 2 2
Cartesian
0.000 0.000 0.000 Pr
1.786 1.786 4.973 Ho
0.000 1.786 2.498 Ni
1.786 0.000 2.498 Ni
0.000 0.000 3.635 B
1.786 1.786 1.281 B
0.000 0.000 5.082 N
1.786 1.786 7.341 N
```

=====

(7)
Compound: SrInAu
Source: OQMD
Functional: PBE-GGA
Structure: optimized geometry

Output
energy	-3.020	eV/atom

```
SrInAu
1.0
6.587 0.000 0.000
0.000 4.124 0.000
0.000 0.000 12.610
Sr In Au
4 4 4
Cartesian
1.379 1.031 2.235 Sr
1.914 3.093 8.539 Sr
4.672 1.031 4.070 Sr
5.207 3.093 10.375 Sr
0.674 3.093 5.060 In
2.619 1.031 11.365 In
3.967 3.093 1.245 In
5.912 1.031 7.549 In
1.013 3.093 12.365 Au
2.280 1.031 6.060 Au
4.307 3.093 6.550 Au
5.573 1.031 0.245 Au
```

=====

(8)
Compound: HfScNO
Source: OQMD
Functional: PBE-GGA
Structure: optimized geometry

Output
offset from the most stable computed form	700	meV per atom

```
HfScNO
1.0
3.587 0.000 0.000
0.000 3.587 0.000
0.000 0.000 7.536
Hf Sc N O
2 2 2 2
Cartesian
0.897 0.897 1.152 Hf
2.690 2.690 6.384 Hf
0.897 2.690 3.768 Sc
2.690 0.897 3.768 Sc
0.897 0.897 5.193 N
2.690 2.690 2.342 N
0.897 2.690 0.000 O
2.690 0.897 0.000 O
```

=====

(9)
Compound: Gd2Sc2BI5
Source: OQMD
Functional: PBE-GGA
Structure: optimized geometry

Output
energy	-4.697	eV/atom

```
Gd2Sc2BI5
1.0
10.616 -1.987 0.000
10.616 1.987 0.000
-1.715 0.000 8.461
Gd Sc B I
2 2 1 5
Cartesian
20.887 0.000 1.690 Gd
-1.369 0.000 6.770 Gd
6.616 0.000 7.990 Sc
12.901 0.000 0.470 Sc
10.616 0.000 0.000 B
2.677 0.000 2.634 I
1.788 0.000 7.092 I
9.759 0.000 4.230 I
17.729 0.000 1.369 I
16.841 0.000 5.826 I
```

=====

(10)
Compound: InHg3GeO4
Source: OQMD
Functional: PBE-GGA
Structure: optimized geometry

Output
energy	-3.351	eV/atom

```
InHg3GeO4
1.0
5.445 0.000 0.000
0.000 5.445 0.000
0.000 0.000 5.445
In Hg Ge O
1 3 1 4
Cartesian
0.000 0.000 0.000 In
0.000 2.722 2.722 Hg
2.722 0.000 2.722 Hg
2.722 2.722 0.000 Hg
2.722 2.722 2.722 Ge
1.224 1.224 1.224 O
1.224 4.221 4.221 O
4.221 1.224 4.221 O
4.221 4.221 1.224 O
```

=====

(11)
Compound: CsLuCd
Source: OQMD
Functional: PBE-GGA
Structure: optimized geometry

Output
offset from the most stable computed form	0	meV per atom

```
CsLuCd
1.0
0.000 4.036 4.036
4.036 0.000 4.036
4.036 4.036 0.000
Cs Lu Cd
1 1 1
Cartesian
0.000 0.000 0.000 Cs
4.036 4.036 4.036 Lu
2.018 2.018 2.018 Cd
```

=====

(12)
Compound: ErTmCu2
Source: OQMD
Functional: PBE-GGA
Structure: optimized geometry

Output
offset from the most stable computed form	0	meV per atom
formation energy	-0.28	eV per atom

```
ErTmCu2
1.0
4.416 0.000 0.000
0.000 5.318 0.000
0.000 0.000 6.994
Er Tm Cu
2 2 4
Cartesian
0.000 0.612 0.000 Er
0.000 4.705 3.497 Er
2.208 2.046 4.457 Tm
2.208 3.272 0.960 Tm
0.000 2.017 2.471 Cu
0.000 3.300 5.968 Cu
2.208 0.653 1.990 Cu
2.208 4.665 5.487 Cu
```